(1)
TmSi2Ni5Pt: optimized geometry, PBE.

The value obtained for the formation energy from raw total energies is -0.33 eV per atom. Its space group is No. 123. Its calculated density is 9.8 g/cm³. The density of states at the Fermi level comes out at 3.425 states/eV/cell. As for the crystal system: tetragonal. For the magnetization, the calculation gives 0.0 μB/f.u.

Cell: 3.7110 3.7110 8.8098 Å, 90.00 90.00 90.00°
Closest atoms and distances in Å follow each position.
Atoms (fractional coordinates):
Tm 0.0000 0.0000 0.0000  12 Ni 2.62-2.75
Si 0.5000 0.5000 0.3709  4 Ni 2.23, 1 Si 2.27
Si 0.5000 0.5000 0.6291  4 Ni 2.23, 1 Si 2.27
Ni 0.0000 0.5000 0.2302  2 Si 2.23
Ni 0.0000 0.5000 0.7698  2 Si 2.23
Ni 0.5000 0.0000 0.2302  2 Si 2.23
Ni 0.5000 0.0000 0.7698  2 Si 2.23
Ni 0.5000 0.5000 0.0000  4 Tm 2.62, 8 Ni 2.75
Pt 0.0000 0.0000 0.5000  8 Si 2.86, 8 Ni 3.02

=====

(2)
U2Si3Ni12Pt: optimized geometry, PBE.

The value obtained for the formation energy from raw total energies is -0.10 eV per atom. Its space group is No. 166. Its calculated density is 10.1 g/cm³. The density of states at the Fermi level comes out at 13.555 states/eV/cell. As for the crystal system: trigonal. For the magnetization, the calculation gives 0.4 μB/f.u.

Cell: 6.2399 6.2399 6.2399 Å, 83.88 83.88 83.88°
Closest atoms and distances in Å follow each position.
Atoms (fractional coordinates):
U 0.1068 0.1068 0.1068  3 Ni 2.35, 1 U 2.54
U 0.8932 0.8932 0.8932  3 Ni 2.35, 1 U 2.54
Si 0.0000 0.5000 0.5000  6 Ni 2.26-2.40
Si 0.5000 0.0000 0.5000  6 Ni 2.26-2.40
Si 0.5000 0.5000 0.0000  6 Ni 2.26-2.40
Ni 0.1242 0.1242 0.5706  2 Si 2.40, 2 Ni 2.45-2.58
Ni 0.1242 0.5706 0.1242  2 Si 2.40, 2 Ni 2.45-2.58
Ni 0.1767 0.6966 0.6966  1 Si 2.26, 1 U 2.35, 1 Ni 2.45, 1 Pt 2.52
Ni 0.3034 0.3034 0.8233  1 Si 2.26, 1 U 2.35, 1 Ni 2.45, 1 Pt 2.52
Ni 0.3034 0.8233 0.3034  1 Si 2.26, 1 U 2.35, 1 Ni 2.45, 1 Pt 2.52
Ni 0.4294 0.8758 0.8758  2 Si 2.40, 2 Ni 2.45-2.58
Ni 0.5706 0.1242 0.1242  2 Si 2.40, 2 Ni 2.45-2.58
Ni 0.6966 0.1767 0.6966  1 Si 2.26, 1 U 2.35, 1 Ni 2.45, 1 Pt 2.52
Ni 0.6966 0.6966 0.1767  1 Si 2.26, 1 U 2.35, 1 Ni 2.45, 1 Pt 2.52
Ni 0.8233 0.3034 0.3034  1 Si 2.26, 1 U 2.35, 1 Ni 2.45, 1 Pt 2.52
Ni 0.8758 0.4294 0.8758  2 Si 2.40, 2 Ni 2.45-2.58
Ni 0.8758 0.8758 0.4294  2 Si 2.40, 2 Ni 2.45-2.58
Pt 0.5000 0.5000 0.5000  6 Ni 2.52

=====

(3)
U2Si3Ni4Pt: optimized geometry, PBE.

The value obtained for the formation energy from raw total energies is -0.55 eV per atom. Its space group is No. 115. Its calculated density is 10.9 g/cm³. The density of states at the Fermi level comes out at 14.209 states/eV/cell. As for the crystal system: tetragonal. For the magnetization, the calculation gives 3.1 μB/f.u.

Cell: 3.7895 3.7895 10.5146 Å, 90.00 90.00 90.00°
Closest atoms and distances in Å follow each position.
Atoms (fractional coordinates):
U 0.0000 0.5000 0.2494  4 Ni 2.83, 4 Si 3.00
U 0.5000 0.0000 0.7506  4 Ni 2.83, 4 Si 3.00
Si 0.0000 0.5000 0.8785  5 Ni 2.27-2.28
Si 0.5000 0.0000 0.1215  5 Ni 2.27-2.28
Si 0.5000 0.5000 0.5000  4 Ni 2.55, 4 Pt 2.68
Ni 0.0000 0.0000 0.0000  4 Si 2.28
Ni 0.0000 0.5000 0.6626  1 Si 2.27
Ni 0.5000 0.0000 0.3374  1 Si 2.27
Ni 0.5000 0.5000 0.0000  4 Si 2.28
Pt 0.0000 0.0000 0.5000  4 Ni 2.55, 4 Si 2.68

=====

(4)
U2Si3NiPt4: optimized geometry, PBE.

The value obtained for the formation energy from raw total energies is -0.68 eV per atom. Its space group is No. 115. Its calculated density is 13.5 g/cm³. The density of states at the Fermi level comes out at 19.768 states/eV/cell. As for the crystal system: tetragonal. For the magnetization, the calculation gives 4.1 μB/f.u.

Cell: 4.1058 4.1058 10.2443 Å, 90.00 90.00 90.00°
Closest atoms and distances in Å follow each position.
Atoms (fractional coordinates):
U 0.0000 0.5000 0.2405  8 Pt 3.09-3.36, 6 Si 3.18-3.21, 2 Ni 3.21
U 0.5000 0.0000 0.7595  8 Pt 3.09-3.36, 6 Si 3.18-3.21, 2 Ni 3.21
Si 0.0000 0.0000 0.0000  4 Pt 2.49
Si 0.0000 0.5000 0.6336  5 Pt 2.35-2.47
Si 0.5000 0.0000 0.3664  5 Pt 2.35-2.47
Ni 0.5000 0.5000 0.0000  4 Pt 2.49
Pt 0.0000 0.0000 0.5000  4 Si 2.47
Pt 0.0000 0.5000 0.8628  3 Si 2.35-2.49, 2 Ni 2.49
Pt 0.5000 0.0000 0.1372  3 Si 2.35-2.49, 2 Ni 2.49
Pt 0.5000 0.5000 0.5000  4 Si 2.47

=====

(5)
YSi2Ni5Pt: optimized geometry, PBE.

The value obtained for the formation energy from raw total energies is -0.28 eV per atom. Its space group is No. 123. Its calculated density is 8.5 g/cm³. The density of states at the Fermi level comes out at 3.362 states/eV/cell. As for the crystal system: tetragonal. For the magnetization, the calculation gives 0.0 μB/f.u.

Cell: 3.7397 3.7397 8.8366 Å, 90.00 90.00 90.00°
Closest atoms and distances in Å follow each position.
Atoms (fractional coordinates):
Y 0.0000 0.0000 0.0000  12 Ni 2.64-2.79
Si 0.5000 0.5000 0.3714  4 Ni 2.23, 1 Si 2.27
Si 0.5000 0.5000 0.6286  4 Ni 2.23, 1 Si 2.27
Ni 0.0000 0.5000 0.2338  2 Si 2.23
Ni 0.0000 0.5000 0.7662  2 Si 2.23
Ni 0.5000 0.0000 0.2338  2 Si 2.23
Ni 0.5000 0.0000 0.7662  2 Si 2.23
Ni 0.5000 0.5000 0.0000  4 Y 2.64, 8 Ni 2.79
Pt 0.0000 0.0000 0.5000  8 Si 2.88, 8 Ni 3.01

=====

(6)
Y2Si4Ni3Pt: optimized geometry, PBE.

The value obtained for the formation energy from raw total energies is -0.92 eV per atom. Its space group is No. 115. Its calculated density is 7.1 g/cm³. The density of states at the Fermi level comes out at 6.557 states/eV/cell. As for the crystal system: tetragonal. For the magnetization, the calculation gives 0.0 μB/f.u.

Cell: 4.0003 4.0003 9.6690 Å, 90.00 90.00 90.00°
Closest atoms and distances in Å follow each position.
Atoms (fractional coordinates):
Y 0.0000 0.5000 0.2417  8 Si 3.05-3.08, 6 Ni 3.06-3.20, 2 Pt 3.20
Y 0.5000 0.0000 0.7583  8 Si 3.05-3.08, 6 Ni 3.06-3.20, 2 Pt 3.20
Si 0.0000 0.0000 0.0000  4 Ni 2.32
Si 0.0000 0.5000 0.6412  3 Ni 2.30-2.42, 2 Pt 2.42
Si 0.5000 0.0000 0.3588  3 Ni 2.30-2.42, 2 Pt 2.42
Si 0.5000 0.5000 0.0000  4 Ni 2.32
Ni 0.0000 0.5000 0.8788  5 Si 2.30-2.32
Ni 0.5000 0.0000 0.1212  5 Si 2.30-2.32
Ni 0.5000 0.5000 0.5000  4 Si 2.42
Pt 0.0000 0.0000 0.5000  4 Si 2.42

=====

(7)
Y2Si3NiPt12: optimized geometry, PBE.

The value obtained for the formation energy from raw total energies is -0.46 eV per atom. Its space group is No. 166. Its calculated density is 12.7 g/cm³. The density of states at the Fermi level comes out at 8.094 states/eV/cell. As for the crystal system: trigonal. For the magnetization, the calculation gives 0.0 μB/f.u.

Cell: 7.6443 7.6443 7.6443 Å, 64.45 64.45 64.45°
Closest atoms and distances in Å follow each position.
Atoms (fractional coordinates):
Y 0.1175 0.1175 0.1175  6 Pt 2.84-2.90
Y 0.8825 0.8825 0.8825  6 Pt 2.84-2.90
Si 0.0000 0.5000 0.5000  6 Pt 2.32-2.38
Si 0.5000 0.0000 0.5000  6 Pt 2.32-2.38
Si 0.5000 0.5000 0.0000  6 Pt 2.32-2.38
Ni 0.5000 0.5000 0.5000  6 Pt 2.45
Pt 0.1292 0.6276 0.6276  1 Si 2.32, 1 Ni 2.45
Pt 0.1405 0.1405 0.6074  2 Si 2.38
Pt 0.1405 0.6074 0.1405  2 Si 2.38
Pt 0.3724 0.3724 0.8708  1 Si 2.32, 1 Ni 2.45
Pt 0.3724 0.8708 0.3724  1 Si 2.32, 1 Ni 2.45
Pt 0.3926 0.8595 0.8595  2 Si 2.38
Pt 0.6074 0.1405 0.1405  2 Si 2.38
Pt 0.6276 0.1292 0.6276  1 Si 2.32, 1 Ni 2.45
Pt 0.6276 0.6276 0.1292  1 Si 2.32, 1 Ni 2.45
Pt 0.8595 0.3926 0.8595  2 Si 2.38
Pt 0.8595 0.8595 0.3926  2 Si 2.38
Pt 0.8708 0.3724 0.3724  1 Si 2.32, 1 Ni 2.45

=====

(8)
Y3Si2NiPt9: optimized geometry, PBE.

The value obtained for the formation energy from raw total energies is -0.66 eV per atom. Its space group is No. 164. Its calculated density is 11.6 g/cm³. The density of states at the Fermi level comes out at 7.799 states/eV/cell. As for the crystal system: trigonal. For the magnetization, the calculation gives 0.0 μB/f.u.

Cell: 6.3569 6.3569 8.7594 Å, 90.00 90.00 120.00°
Closest atoms and distances in Å follow each position.
Atoms (fractional coordinates):
Y 0.0000 0.0000 0.0000  12 Pt 2.89-3.18
Y 0.3333 0.6667 0.7133  9 Pt 3.11-3.19
Y 0.6667 0.3333 0.2867  9 Pt 3.11-3.19
Si 0.3333 0.6667 0.1868  6 Pt 2.25-2.46
Si 0.6667 0.3333 0.8132  6 Pt 2.25-2.46
Ni 0.0000 0.0000 0.5000  6 Pt 2.50
Pt 0.0000 0.5000 0.0000  2 Si 2.46
Pt 0.1416 0.2833 0.2772  1 Si 2.25, 1 Ni 2.50
Pt 0.1416 0.8584 0.2772  1 Si 2.25, 1 Ni 2.50
Pt 0.2833 0.1416 0.7228  1 Si 2.25, 1 Ni 2.50
Pt 0.5000 0.0000 0.0000  2 Si 2.46
Pt 0.5000 0.5000 0.0000  2 Si 2.46
Pt 0.7167 0.8584 0.2772  1 Si 2.25, 1 Ni 2.50
Pt 0.8584 0.1416 0.7228  1 Si 2.25, 1 Ni 2.50
Pt 0.8584 0.7167 0.7228  1 Si 2.25, 1 Ni 2.50

=====

(9)
ZnSi3Ni4Pt12: optimized geometry, PBE.

The value obtained for the formation energy from raw total energies is 0.15 eV per atom. Its space group is No. 204. Its calculated density is 12.8 g/cm³. The density of states at the Fermi level comes out at 20.367 states/eV/cell. As for the crystal system: cubic. For the magnetization, the calculation gives 3.7 μB/f.u.

Cell: 7.7186 7.7186 7.7186 Å, 109.47 109.47 109.47°
Closest atoms and distances in Å follow each position.
Atoms (fractional coordinates):
Zn 0.0000 0.0000 0.0000  12 Pt 2.83
Si 0.0000 0.5000 0.5000  4 Pt 2.35
Si 0.5000 0.0000 0.5000  4 Pt 2.35
Si 0.5000 0.5000 0.0000  4 Pt 2.35
Ni 0.0000 0.0000 0.5000  6 Pt 2.42
Ni 0.0000 0.5000 0.0000  6 Pt 2.42
Ni 0.5000 0.0000 0.0000  6 Pt 2.42
Ni 0.5000 0.5000 0.5000  6 Pt 2.42
Pt 0.1336 0.8523 0.2813  1 Si 2.35, 2 Ni 2.42, 1 Pt 2.63
Pt 0.1477 0.2813 0.4290  1 Si 2.35, 2 Ni 2.42, 1 Pt 2.63
Pt 0.1477 0.7187 0.8664  1 Si 2.35, 2 Ni 2.42, 1 Pt 2.63
Pt 0.2813 0.1336 0.8523  1 Si 2.35, 2 Ni 2.42, 1 Pt 2.63
Pt 0.2813 0.4290 0.1477  1 Si 2.35, 2 Ni 2.42, 1 Pt 2.63
Pt 0.4290 0.1477 0.2813  1 Si 2.35, 2 Ni 2.42, 1 Pt 2.63
Pt 0.5710 0.8523 0.7187  1 Si 2.35, 2 Ni 2.42, 1 Pt 2.63
Pt 0.7187 0.5710 0.8523  1 Si 2.35, 2 Ni 2.42, 1 Pt 2.63
Pt 0.7187 0.8664 0.1477  1 Si 2.35, 2 Ni 2.42, 1 Pt 2.63
Pt 0.8523 0.2813 0.1336  1 Si 2.35, 2 Ni 2.42, 1 Pt 2.63
Pt 0.8523 0.7187 0.5710  1 Si 2.35, 2 Ni 2.42, 1 Pt 2.63
Pt 0.8664 0.1477 0.7187  1 Si 2.35, 2 Ni 2.42, 1 Pt 2.63